# BaSr2LaH

A geometry-optimized BaSr2LaH structure (PBE, Alexandria via LeMat-Bulk).

The structure in POSCAR format:
```
BaSr2LaH
1.0
5.640 0.000 0.000
0.000 5.640 0.000
0.000 0.000 5.974
La Ba Sr H
1 1 2 1
direct
0.500 0.500 0.500
0.000 0.000 0.500
0.000 0.500 0.000
0.500 0.000 0.000
0.000 0.000 0.000
```

Calculated values
SG = P4/mmm, No. 123
magnetic moment = 0.1197 μB/atom
crystal system = tetragonal
total DFT energy (no corrections) = -13.533 eV/cell

# BaSrLa2H

A geometry-optimized BaSrLa2H structure (PBE, Alexandria via LeMat-Bulk).

The structure in POSCAR format:
```
BaSrLa2H
1.0
-1.247 1.886 -4.875
-3.022 -4.349 -0.910
-4.786 2.840 2.322
Ba La Sr H
1 2 1 1
direct
0.000 0.000 0.500
0.000 0.500 0.000
0.500 0.000 0.000
0.500 0.500 0.500
0.000 0.000 0.000
```

Calculated values
SG = P4/mmm, No. 123
magnetic moment = 0.0000 μB/atom
crystal system = tetragonal
total DFT energy (no corrections) = -16.903 eV/cell

# BaSr2LaH

A geometry-optimized BaSr2LaH structure (PBE, Alexandria via LeMat-Bulk).

The structure in POSCAR format:
```
BaSr2LaH
1.0
-0.584 1.553 6.230
4.162 -4.671 1.555
3.630 3.091 -0.430
Sr Ba H La
2 1 1 1
direct
0.500 0.000 0.000
0.000 0.500 0.000
0.500 0.500 0.500
0.000 0.000 0.000
0.000 0.000 0.500
```

Calculated values
SG = P4/mmm, No. 123
magnetic moment = 0.0000 μB/atom
crystal system = tetragonal
total DFT energy (no corrections) = -13.690 eV/cell